BaAlCdAg6: relaxed, PBE.

Unit cell a=9.133 b=5.694 c=9.659 alpha=107.14 beta=118.22 gamma=90.00
Sites, in units of the cell vectors:
Ag: 0.640 0.890 0.281
Ag: 0.994 0.744 0.988
Ag: 0.852 0.587 0.180
Ag: 0.672 0.413 0.820
Ag: 0.006 0.256 0.012
Ag: 0.328 0.587 0.180
Ag: 0.672 0.907 0.820
Ag: 0.360 0.110 0.719
Ag: 0.148 0.907 0.820
Ag: 0.148 0.413 0.820
Ag: 0.328 0.093 0.180
Ag: 0.852 0.093 0.180
Al: 0.500 0.500 0.000
Al: 0.500 0.000 0.000
Cd: 0.000 0.000 0.500
Cd: 0.500 0.000 0.500
Ba: 0.246 0.496 0.492
Ba: 0.754 0.504 0.508

Output
- Size of the total moment: 0.0 μB/cell
- Calculated formation energy: -0.038 eV/atom
- N(E_F): 0.39 states/eV/atom
- ρ: 7.4 g/cm3

***

TcAg2W: relaxed, PBE.

Unit cell a=2.674 b=2.674 c=9.112 alpha=90.00 beta=90.00 gamma=90.00
Sites, in units of the cell vectors:
W: 0.500 0.500 0.750
Ag: 0.000 0.000 0.002
Ag: 0.000 0.000 0.498
Tc: 0.500 0.500 0.250

Output
- Size of the total moment: 0.0 μB/cell
- Calculated formation energy: 0.641 eV/atom
- N(E_F): 0.76 states/eV/atom
- E above lowest polymorph: 319 meV per atom
- ρ: 12.7 g/cm3

***

Number 1: energy -2.67 eV/atom. Number 2: energy -6.61 eV/atom.